(1)
# Sm4PPbSe2, relaxed, DFT GGA-PBE
data_Sm4PPbSe2
_chemical_formula_sum 'Sm4 P1 Pb1 Se2'
_cell_length_a 7.3658
_cell_length_b 4.2449
_cell_length_c 7.4108
_cell_angle_alpha 90.00
_cell_angle_beta 109.38
_cell_angle_gamma 90.00
_space_group_name_H-M_alt 'P 1 2/m 1'
_space_group_IT_number 10
loop_
_space_group_symop_operation_xyz
'x,y,z'
'-x,-y,-z'
'-x,y,-z'
'x,-y,z'
loop_
_atom_site_label
_atom_site_type_symbol
_atom_site_fract_x
_atom_site_fract_y
_atom_site_fract_z
_atom_site_occupancy
Sm1 Sm 0.2394 0.0000 0.2339 1
Sm2 Sm 0.2511 0.5000 0.7641 1
P1 P 0.0000 0.5000 0.0000 1
Pb1 Pb 0.0000 0.0000 0.5000 1
Se1 Se 0.5000 0.0000 0.0000 1
Se2 Se 0.5000 0.5000 0.5000 1
# raw formation energy: -1439 meV/atom
# crystal system: monoclinic

(2)
# Sm6P3PbSe2, relaxed, DFT GGA-PBE
data_Sm6P3PbSe2
_chemical_formula_sum 'Sm12 P6 Pb2 Se4'
_cell_length_a 18.3945
_cell_length_b 4.1387
_cell_length_c 8.5213
_cell_angle_alpha 90.00
_cell_angle_beta 104.01
_cell_angle_gamma 90.00
_space_group_name_H-M_alt 'C 1 2/m 1'
_space_group_IT_number 12
loop_
_space_group_symop_operation_xyz
'x,y,z'
'-x,-y,-z'
'-x,y,-z'
'x,-y,z'
'x+1/2,y+1/2,z'
'-x+1/2,-y+1/2,-z'
'-x+1/2,y+1/2,-z'
'x+1/2,-y+1/2,z'
loop_
_atom_site_label
_atom_site_type_symbol
_atom_site_fract_x
_atom_site_fract_y
_atom_site_fract_z
_atom_site_occupancy
Sm1 Sm 0.0023 0.0000 0.2299 1
Sm2 Sm 0.1630 0.5000 0.0948 1
Sm3 Sm 0.1737 0.5000 0.5762 1
P1 P 0.0000 0.5000 0.0000 1
P2 P 0.1670 0.0000 0.3320 1
Pb1 Pb 0.0000 0.5000 0.5000 1
Se1 Se 0.1690 0.0000 0.8377 1
# raw formation energy: -1517 meV/atom
# crystal system: monoclinic

(3)
# Sm6P2PbSe3, relaxed, DFT GGA-PBE
data_Sm6P2PbSe3
_chemical_formula_sum 'Sm12 P4 Pb2 Se6'
_cell_length_a 18.4121
_cell_length_b 4.1868
_cell_length_c 8.5180
_cell_angle_alpha 90.00
_cell_angle_beta 103.34
_cell_angle_gamma 90.00
_space_group_name_H-M_alt 'C 1 2/m 1'
_space_group_IT_number 12
loop_
_space_group_symop_operation_xyz
'x,y,z'
'-x,-y,-z'
'-x,y,-z'
'x,-y,z'
'x+1/2,y+1/2,z'
'-x+1/2,-y+1/2,-z'
'-x+1/2,y+1/2,-z'
'x+1/2,-y+1/2,z'
loop_
_atom_site_label
_atom_site_type_symbol
_atom_site_fract_x
_atom_site_fract_y
_atom_site_fract_z
_atom_site_occupancy
Sm1 Sm 0.0064 0.0000 0.2643 1
Sm2 Sm 0.1719 0.5000 0.1039 1
Sm3 Sm 0.1723 0.5000 0.5728 1
P1 P 0.1685 0.0000 0.3368 1
Pb1 Pb 0.0000 0.5000 0.0000 1
Se1 Se 0.0000 0.5000 0.5000 1
Se2 Se 0.1644 0.0000 0.8321 1
# raw formation energy: -1552 meV/atom
# crystal system: monoclinic

(4)
# Th6P3PbSe2, relaxed, DFT GGA-PBE
data_Th6P3PbSe2
_chemical_formula_sum 'Th12 P6 Pb2 Se4'
_cell_length_a 18.6234
_cell_length_b 4.2256
_cell_length_c 8.5430
_cell_angle_alpha 90.00
_cell_angle_beta 105.07
_cell_angle_gamma 90.00
_space_group_name_H-M_alt 'C 1 2/m 1'
_space_group_IT_number 12
loop_
_space_group_symop_operation_xyz
'x,y,z'
'-x,-y,-z'
'-x,y,-z'
'x,-y,z'
'x+1/2,y+1/2,z'
'-x+1/2,-y+1/2,-z'
'-x+1/2,y+1/2,-z'
'x+1/2,-y+1/2,z'
loop_
_atom_site_label
_atom_site_type_symbol
_atom_site_fract_x
_atom_site_fract_y
_atom_site_fract_z
_atom_site_occupancy
Th1 Th 0.0041 0.0000 0.2274 1
Th2 Th 0.1610 0.5000 0.0932 1
Th3 Th 0.1749 0.5000 0.5678 1
P1 P 0.0000 0.5000 0.0000 1
P2 P 0.1647 0.0000 0.3276 1
Pb1 Pb 0.0000 0.5000 0.5000 1
Se1 Se 0.1686 0.0000 0.8328 1
# raw formation energy: -1337 meV/atom
# crystal system: monoclinic

(5)
# Tm4PPbSe2, relaxed, DFT GGA-PBE
data_Tm4PPbSe2
_chemical_formula_sum 'Tm4 P1 Pb1 Se2'
_cell_length_a 7.1142
_cell_length_b 4.0825
_cell_length_c 7.1764
_cell_angle_alpha 90.00
_cell_angle_beta 109.30
_cell_angle_gamma 90.00
_space_group_name_H-M_alt 'P 1 2/m 1'
_space_group_IT_number 10
loop_
_space_group_symop_operation_xyz
'x,y,z'
'-x,-y,-z'
'-x,y,-z'
'x,-y,z'
loop_
_atom_site_label
_atom_site_type_symbol
_atom_site_fract_x
_atom_site_fract_y
_atom_site_fract_z
_atom_site_occupancy
Tm1 Tm 0.2367 0.0000 0.2325 1
Tm2 Tm 0.2490 0.5000 0.7654 1
P1 P 0.0000 0.5000 0.0000 1
Pb1 Pb 0.0000 0.0000 0.5000 1
Se1 Se 0.5000 0.0000 0.0000 1
Se2 Se 0.5000 0.5000 0.5000 1
# raw formation energy: -1343 meV/atom
# crystal system: monoclinic

(6)
# Tm8PPb4Se3, relaxed, DFT GGA-PBE
data_Tm8PPb4Se3
_chemical_formula_sum 'Tm16 P2 Pb8 Se6'
_cell_length_a 13.5584
_cell_length_b 7.9083
_cell_length_c 8.9249
_cell_angle_alpha 90.00
_cell_angle_beta 120.24
_cell_angle_gamma 90.00
_space_group_name_H-M_alt 'C 1 2/m 1'
_space_group_IT_number 12
loop_
_space_group_symop_operation_xyz
'x,y,z'
'-x,-y,-z'
'-x,y,-z'
'x,-y,z'
'x+1/2,y+1/2,z'
'-x+1/2,-y+1/2,-z'
'-x+1/2,y+1/2,-z'
'x+1/2,-y+1/2,z'
loop_
_atom_site_label
_atom_site_type_symbol
_atom_site_fract_x
_atom_site_fract_y
_atom_site_fract_z
_atom_site_occupancy
Tm1 Tm 0.0109 0.2419 0.2909 1
Tm2 Tm 0.2313 0.0000 0.7091 1
Tm3 Tm 0.2392 0.5000 0.7170 1
P1 P 0.0000 0.0000 0.5000 1
Pb1 Pb 0.0000 0.0000 0.0000 1
Pb2 Pb 0.0000 0.5000 0.0000 1
Pb3 Pb 0.2500 0.2500 0.0000 1
Se1 Se 0.0000 0.5000 0.5000 1
Se2 Se 0.2500 0.2500 0.5000 1
# raw formation energy: -1027 meV/atom
# crystal system: monoclinic

(7)
# Tm6P2PbSe3, relaxed, DFT GGA-PBE
data_Tm6P2PbSe3
_chemical_formula_sum 'Tm12 P4 Pb2 Se6'
_cell_length_a 17.7540
_cell_length_b 4.0194
_cell_length_c 8.2433
_cell_angle_alpha 90.00
_cell_angle_beta 103.16
_cell_angle_gamma 90.00
_space_group_name_H-M_alt 'C 1 2/m 1'
_space_group_IT_number 12
loop_
_space_group_symop_operation_xyz
'x,y,z'
'-x,-y,-z'
'-x,y,-z'
'x,-y,z'
'x+1/2,y+1/2,z'
'-x+1/2,-y+1/2,-z'
'-x+1/2,y+1/2,-z'
'x+1/2,-y+1/2,z'
loop_
_atom_site_label
_atom_site_type_symbol
_atom_site_fract_x
_atom_site_fract_y
_atom_site_fract_z
_atom_site_occupancy
Tm1 Tm 0.0078 0.0000 0.2658 1
Tm2 Tm 0.1722 0.5000 0.1087 1
Tm3 Tm 0.1736 0.5000 0.5728 1
P1 P 0.1685 0.0000 0.3386 1
Pb1 Pb 0.0000 0.5000 0.0000 1
Se1 Se 0.0000 0.5000 0.5000 1
Se2 Se 0.1646 0.0000 0.8327 1
# raw formation energy: -1474 meV/atom
# crystal system: monoclinic

(8)
# Tm4PPb2Se, relaxed, DFT GGA-PBE
data_Tm4PPb2Se
_chemical_formula_sum 'Tm4 P1 Pb2 Se1'
_cell_length_a 6.7651
_cell_length_b 3.9404
_cell_length_c 8.0454
_cell_angle_alpha 90.00
_cell_angle_beta 106.85
_cell_angle_gamma 90.00
_space_group_name_H-M_alt 'P 1 2/m 1'
_space_group_IT_number 10
loop_
_space_group_symop_operation_xyz
'x,y,z'
'-x,-y,-z'
'-x,y,-z'
'x,-y,z'
loop_
_atom_site_label
_atom_site_type_symbol
_atom_site_fract_x
_atom_site_fract_y
_atom_site_fract_z
_atom_site_occupancy
Tm1 Tm 0.2279 0.0000 0.2033 1
Tm2 Tm 0.2510 0.5000 0.7904 1
P1 P 0.0000 0.5000 0.0000 1
Pb1 Pb 0.0000 0.0000 0.5000 1
Pb2 Pb 0.5000 0.5000 0.5000 1
Se1 Se 0.5000 0.0000 0.0000 1
# raw formation energy: -1036 meV/atom
# crystal system: monoclinic

(9)
# Y4PPb2Se, relaxed, DFT GGA-PBE
data_Y4PPb2Se
_chemical_formula_sum 'Y4 P1 Pb2 Se1'
_cell_length_a 6.9035
_cell_length_b 4.0050
_cell_length_c 8.1189
_cell_angle_alpha 90.00
_cell_angle_beta 106.78
_cell_angle_gamma 90.00
_space_group_name_H-M_alt 'P 1 2/m 1'
_space_group_IT_number 10
loop_
_space_group_symop_operation_xyz
'x,y,z'
'-x,-y,-z'
'-x,y,-z'
'x,-y,z'
loop_
_atom_site_label
_atom_site_type_symbol
_atom_site_fract_x
_atom_site_fract_y
_atom_site_fract_z
_atom_site_occupancy
Y1 Y 0.2284 0.0000 0.2051 1
Y2 Y 0.2522 0.5000 0.7886 1
P1 P 0.0000 0.5000 0.0000 1
Pb1 Pb 0.0000 0.0000 0.5000 1
Pb2 Pb 0.5000 0.5000 0.5000 1
Se1 Se 0.5000 0.0000 0.0000 1
# raw formation energy: -1112 meV/atom
# crystal system: monoclinic

(10)
# Si3PPb, relaxed, DFT GGA-PBE
data_Si3PPb
_chemical_formula_sum 'Si3 P1 Pb1'
_cell_length_a 4.6969
_cell_length_b 4.6969
_cell_length_c 4.6969
_cell_angle_alpha 90.00
_cell_angle_beta 90.00
_cell_angle_gamma 90.00
_space_group_name_H-M_alt 'P m -3 m'
_space_group_IT_number 221
_space_group_name_Hall '-P 4 2 3'
loop_
_atom_site_label
_atom_site_type_symbol
_atom_site_fract_x
_atom_site_fract_y
_atom_site_fract_z
_atom_site_occupancy
Si1 Si 0.0000 0.0000 0.5000 1
P1 P 0.0000 0.0000 0.0000 1
Pb1 Pb 0.5000 0.5000 0.5000 1
# raw formation energy: 677 meV/atom
# crystal system: cubic

(11)
# Si2PPb, relaxed, DFT GGA-PBE
data_Si2PPb
_chemical_formula_sum 'Si4 P2 Pb2'
_cell_length_a 3.4200
_cell_length_b 5.5672
_cell_length_c 8.8208
_cell_angle_alpha 90.00
_cell_angle_beta 90.00
_cell_angle_gamma 90.00
_space_group_name_H-M_alt 'I m m 2'
_space_group_IT_number 44
loop_
_space_group_symop_operation_xyz
'x,y,z'
'-x,-y,z'
'-x,y,z'
'x,-y,z'
'x+1/2,y+1/2,z+1/2'
'-x+1/2,-y+1/2,z+1/2'
'-x+1/2,y+1/2,z+1/2'
'x+1/2,-y+1/2,z+1/2'
loop_
_atom_site_label
_atom_site_type_symbol
_atom_site_fract_x
_atom_site_fract_y
_atom_site_fract_z
_atom_site_occupancy
Si1 Si 0.0000 0.0000 0.0000 1
Si2 Si 0.0000 0.5000 0.2939 1
P1 P 0.0000 0.5000 0.6735 1
Pb1 Pb 0.0000 0.0000 0.4910 1
# raw formation energy: 453 meV/atom
# crystal system: orthorhombic

(12)
# SiP2Pb, relaxed, DFT GGA-PBE
data_SiP2Pb
_chemical_formula_sum 'Si1 P2 Pb1'
_cell_length_a 4.7160
_cell_length_b 4.7160
_cell_length_c 3.4674
_cell_angle_alpha 90.00
_cell_angle_beta 90.00
_cell_angle_gamma 90.00
_space_group_name_H-M_alt 'P 4/m m m'
_space_group_IT_number 123
_space_group_name_Hall '-P 4 2'
loop_
_atom_site_label
_atom_site_type_symbol
_atom_site_fract_x
_atom_site_fract_y
_atom_site_fract_z
_atom_site_occupancy
Si1 Si 0.0000 0.0000 0.0000 1
P1 P 0.0000 0.5000 0.5000 1
Pb1 Pb 0.5000 0.5000 0.0000 1
# raw formation energy: 683 meV/atom
# crystal system: tetragonal

(13)
# SiP2Pb, relaxed, DFT GGA-PBE
data_SiP2Pb
_chemical_formula_sum 'Si2 P4 Pb2'
_cell_length_a 5.4478
_cell_length_b 5.4478
_cell_length_c 5.4477
_cell_angle_alpha 90.00
_cell_angle_beta 90.00
_cell_angle_gamma 90.00
_space_group_name_H-M_alt 'I 4/m m m'
_space_group_IT_number 139
_space_group_name_Hall '-I 4 2'
loop_
_atom_site_label
_atom_site_type_symbol
_atom_site_fract_x
_atom_site_fract_y
_atom_site_fract_z
_atom_site_occupancy
Si1 Si 0.0000 0.0000 0.0000 1
P1 P 0.0000 0.5000 0.0000 1
Pb1 Pb 0.0000 0.0000 0.5000 1
# raw formation energy: 454 meV/atom
# crystal system: tetragonal